(1)
The following is a PBE calculation of NiTeP after structural relaxation, from Alexandria via LeMat-Bulk.

Cell lengths 5.9502, 5.9502, 5.9502 Å; angles 90.00, 90.00, 90.00 degrees
Fractional positions:
Ni 0.0251 0.0251 0.0251
Ni 0.4749 0.9749 0.5251
Ni 0.5251 0.4749 0.9749
Ni 0.9749 0.5251 0.4749
Te 0.3708 0.3708 0.3708
Te 0.1292 0.6292 0.8708
Te 0.8708 0.1292 0.6292
Te 0.6292 0.8708 0.1292
P 0.6214 0.6214 0.6214
P 0.8786 0.3786 0.1214
P 0.1214 0.8786 0.3786
P 0.3786 0.1214 0.8786

Raw total energy: -4.9512 eV/atom
Fermi-level density of states: 0.77 states/eV per atom
Energy above the lowest structure with this stoichiometry: 12.9 meV per atom



(2)
The following is a PBE calculation of Ni2TeP after structural relaxation, from Alexandria via LeMat-Bulk.

Cell lengths 4.1994, 4.0990, 4.4918 Å; angles 72.46, 90.00, 90.00 degrees
Fractional positions:
Ni 0.0000 0.9452 0.1250
Ni 0.5000 0.2593 0.2260
Te 0.5000 0.9071 0.8361
P 0.0000 0.3884 0.3129

Raw total energy: -5.1400 eV/atom
Fermi-level density of states: 0.59 states/eV per atom



(3)
The following is a PBE calculation of Ni2TeP after structural relaxation, from Alexandria via LeMat-Bulk.

Cell lengths 3.6331, 4.3233, 4.3172 Å; angles 85.49, 90.00, 90.00 degrees
Fractional positions:
Ni 0.0000 0.2292 0.6546
Ni 0.0000 0.7708 0.3454
Te 0.5000 0.5000 0.0000
P 0.5000 0.0000 0.5000

Raw total energy: -5.0157 eV/atom
Fermi-level density of states: 0.40 states/eV per atom



(4)
The following is a PBE calculation of Ni2TeP2 after structural relaxation, from Alexandria via LeMat-Bulk.

Cell lengths 7.5175, 7.5175, 2.8967 Å; angles 90.00, 90.00, 90.00 degrees
Fractional positions:
Ni 0.1139 0.6139 0.5000
Ni 0.6139 0.8861 0.5000
Ni 0.8861 0.3861 0.5000
Ni 0.3861 0.1139 0.5000
Te 0.0000 0.0000 0.0000
Te 0.5000 0.5000 0.0000
P 0.3675 0.8675 0.0000
P 0.8675 0.6325 0.0000
P 0.6325 0.1325 0.0000
P 0.1325 0.3675 0.0000

Raw total energy: -4.8657 eV/atom
Fermi-level density of states: 0.45 states/eV per atom
Energy above the lowest structure with this stoichiometry: 241.3 meV per atom



(5)
The following is a PBE calculation of NiTe2P after structural relaxation, from Alexandria via LeMat-Bulk.

Cell lengths 5.7740, 5.7740, 5.7740 Å; angles 143.32, 91.38, 100.01 degrees
Fractional positions:
Ni 0.0000 0.5000 0.5000
Te 0.7637 0.7637 0.0000
Te 0.2363 0.2363 0.0000
P 0.5000 0.0000 0.5000

Raw total energy: -3.8928 eV/atom
Fermi-level density of states: 1.05 states/eV per atom



(6)
The following is a PBE calculation of Ni2TeP after structural relaxation, from Alexandria via LeMat-Bulk.

Cell lengths 5.1328, 5.1328, 5.1328 Å; angles 137.79, 137.79, 61.23 degrees
Fractional positions:
Ni 0.0000 0.0000 0.0000
Ni 0.2500 0.7500 0.5000
Te 0.7500 0.2500 0.5000
P 0.5000 0.5000 0.0000

Raw total energy: -4.7483 eV/atom
Fermi-level density of states: 0.51 states/eV per atom



(7)
The following is a PBE calculation of NiTe2P after structural relaxation, from Alexandria via LeMat-Bulk.

Cell lengths 8.1042, 7.5549, 6.4423 Å; angles 90.00, 90.00, 90.00 degrees
Fractional positions:
Ni 0.1620 0.5748 0.5422
Ni 0.8380 0.5748 0.4578
Ni 0.8380 0.5748 0.0422
Ni 0.1620 0.5748 0.9578
Te 0.5000 0.1581 0.5000
Te 0.5000 0.1581 0.0000
Te 0.6327 0.7659 0.2500
Te 0.3673 0.7659 0.7500
Te 0.0000 0.8565 0.5000
Te 0.0000 0.8565 0.0000
Te 0.8061 0.2943 0.2500
Te 0.1939 0.2943 0.7500
P 0.2100 0.4042 0.2500
P 0.7900 0.4042 0.7500
P 0.2978 0.6705 0.2500
P 0.7022 0.6705 0.7500

Raw total energy: -4.2949 eV/atom
Fermi-level density of states: 0.53 states/eV per atom



(8)
The following is a PBE calculation of NiTe3P after structural relaxation, from Alexandria via LeMat-Bulk.

Cell lengths 5.1492, 5.1492, 5.1492 Å; angles 90.00, 90.00, 90.00 degrees
Fractional positions:
Ni 0.5000 0.5000 0.5000
Te 0.0000 0.5000 0.0000
Te 0.0000 0.0000 0.5000
Te 0.5000 0.0000 0.0000
P 0.0000 0.0000 0.0000

Raw total energy: -3.1970 eV/atom
Fermi-level density of states: 1.59 states/eV per atom
Energy above the lowest structure with this stoichiometry: 298.3 meV per atom



(9)
The following is a PBE calculation of NiTeP2 after structural relaxation, from Alexandria via LeMat-Bulk.

Cell lengths 3.2094, 3.9826, 7.5884 Å; angles 102.12, 90.00, 90.00 degrees
Fractional positions:
Ni 0.5000 0.6853 0.8505
P 0.0000 0.9922 0.0902
P 0.5000 0.2416 0.9738
Te 0.0000 0.5809 0.5855

Raw total energy: -4.9667 eV/atom
Fermi-level density of states: 0.66 states/eV per atom



(10)
The following is a PBE calculation of NiTeP2 after structural relaxation, from Alexandria via LeMat-Bulk.

Cell lengths 4.4737, 4.4720, 4.4720 Å; angles 68.65, 71.47, 108.53 degrees
Fractional positions:
Ni 0.5000 0.0000 0.5000
P 0.0000 0.0000 0.0000
P 0.0000 0.5000 0.5000
Te 0.5000 0.5000 0.0000

Raw total energy: -4.7141 eV/atom
Fermi-level density of states: 0.19 states/eV per atom



(11)
The following is a PBE calculation of NiTeP2 after structural relaxation, from Alexandria via LeMat-Bulk.

Cell lengths 3.2439, 3.2439, 7.0639 Å; angles 90.00, 90.00, 90.00 degrees
Fractional positions:
Ni 0.5000 0.5000 0.8001
P 0.0000 0.0000 0.0022
P 0.5000 0.5000 0.1188
Te 0.0000 0.0000 0.5789

Raw total energy: -4.7113 eV/atom
Fermi-level density of states: 0.46 states/eV per atom



(12)
The following is a PBE calculation of NiTe2P after structural relaxation, from Alexandria via LeMat-Bulk.

Cell lengths 4.8929, 4.8929, 3.2605 Å; angles 90.00, 90.00, 90.00 degrees
Fractional positions:
Ni 0.5000 0.5000 0.5000
Te 0.5000 0.0000 0.0000
Te 0.0000 0.5000 0.0000
P 0.0000 0.0000 0.5000

Raw total energy: -3.8391 eV/atom
Fermi-level density of states: 0.70 states/eV per atom



(13)
The following is a PBE calculation of NiTeP2 after structural relaxation, from Alexandria via LeMat-Bulk.

Cell lengths 6.8950, 6.8950, 6.8950 Å; angles 153.88, 126.97, 60.05 degrees
Fractional positions:
Ni 0.8127 0.3127 0.5000
P 0.9578 0.9578 0.0000
P 0.0789 0.5789 0.5000
Te 0.6506 0.6506 0.0000

Raw total energy: -4.6279 eV/atom
Fermi-level density of states: 0.43 states/eV per atom



(14)
The following is a PBE calculation of Ni4TeP after structural relaxation, from Alexandria via LeMat-Bulk.

Cell lengths 4.8620, 4.8620, 4.8620 Å; angles 60.00, 60.00, 60.00 degrees
Fractional positions:
Ni 0.8734 0.3755 0.3755
Ni 0.3755 0.3755 0.8734
Ni 0.3755 0.8734 0.3755
Ni 0.3755 0.3755 0.3755
Te 0.0000 0.0000 0.0000
P 0.7500 0.7500 0.7500

Raw total energy: -4.9689 eV/atom
Fermi-level density of states: 0.69 states/eV per atom



(15)
The following is a PBE calculation of NiTeP2 after structural relaxation, from Alexandria via LeMat-Bulk.

Cell lengths 7.3142, 7.3142, 7.3142 Å; angles 27.65, 27.65, 27.65 degrees
Fractional positions:
Ni 0.7500 0.7500 0.7500
P 0.0365 0.0365 0.0365
P 0.4635 0.4635 0.4635
Te 0.2500 0.2500 0.2500

Raw total energy: -4.8491 eV/atom
Fermi-level density of states: 0.71 states/eV per atom



(16)
The following is a PBE calculation of NiTeP2 after structural relaxation, from Alexandria via LeMat-Bulk.

Cell lengths 5.5960, 5.5960, 6.7328 Å; angles 65.44, 65.44, 90.00 degrees
Fractional positions:
Ni 0.5000 0.5000 0.0000
Ni 0.2500 0.7500 0.5000
Te 0.0000 0.0000 0.0000
Te 0.7500 0.2500 0.5000
P 0.5417 0.1250 0.2500
P 0.2083 0.6250 0.2500
P 0.3750 0.4583 0.7500
P 0.8750 0.7917 0.7500

Raw total energy: -4.8482 eV/atom
Fermi-level density of states: 0.26 states/eV per atom



(17)
The following is a PBE calculation of NiTeP2 after structural relaxation, from Alexandria via LeMat-Bulk.

Cell lengths 4.5188, 4.5188, 3.6404 Å; angles 90.00, 90.00, 109.96 degrees
Fractional positions:
Ni 0.0000 0.5000 0.5000
P 0.0000 0.0000 0.0000
P 0.5000 0.5000 0.0000
Te 0.5000 0.0000 0.5000

Raw total energy: -4.2772 eV/atom
Fermi-level density of states: 0.70 states/eV per atom



(18)
The following is a PBE calculation of NiTe3P after structural relaxation, from Alexandria via LeMat-Bulk.

Cell lengths 4.9588, 4.9588, 4.9588 Å; angles 90.00, 90.00, 90.00 degrees
Fractional positions:
Ni 0.0000 0.0000 0.0000
Te 0.0000 0.5000 0.0000
Te 0.0000 0.0000 0.5000
Te 0.5000 0.0000 0.0000
P 0.5000 0.5000 0.5000

Raw total energy: -3.4953 eV/atom
Fermi-level density of states: 0.92 states/eV per atom
Energy above the lowest structure with this stoichiometry: 0.0 meV per atom



(19)
The following is a PBE calculation of NiTeP after structural relaxation, from Alexandria via LeMat-Bulk.

Cell lengths 6.3523, 6.3523, 6.3523 Å; angles 151.62, 151.62, 40.57 degrees
Fractional positions:
Ni 0.8918 0.8918 0.0000
Te 0.6672 0.6672 0.0000
P 0.4410 0.4410 0.0000

Raw total energy: -4.8096 eV/atom
Fermi-level density of states: 0.52 states/eV per atom
Energy above the lowest structure with this stoichiometry: 154.6 meV per atom



(20)
The following is a PBE calculation of Ni2TeP after structural relaxation, from Alexandria via LeMat-Bulk.

Cell lengths 4.6266, 4.6266, 4.6266 Å; angles 132.61, 107.24, 91.52 degrees
Fractional positions:
Ni 0.6867 0.6867 0.0000
Ni 0.3133 0.3133 0.0000
Te 0.0000 0.5000 0.5000
P 0.5000 0.0000 0.5000

Raw total energy: -4.9247 eV/atom
Fermi-level density of states: 0.51 states/eV per atom